7
Lattice="2.415 1.394 8.688 -2.415 1.394 8.688 0.000 -2.789 8.688" Properties=species:S:1:pos:R:3 comment="Pu2ThAg2Sn2 (GGA-PBE, relaxed)" e_tot_ev_per_cell=-51.19 spacegroup="R-3m, No. 166" formation_energy_ev_per_atom=-0.20 pbc="T T T"
Pu 0.000 0.000 3.710
Pu 0.000 0.000 22.355
Th 0.000 0.000 0.000
Ag 0.000 0.000 11.153
Ag 0.000 0.000 14.913
Sn 0.000 0.000 6.944
Sn 0.000 0.000 19.122


5
Lattice="4.241 0.000 0.000 0.000 4.241 0.000 0.000 0.000 4.559" Properties=species:S:1:pos:R:3 comment="HfZrTi2O (GGA-PBE, relaxed)" e_tot_ev_per_cell=-44.50 spacegroup="P4/mmm, No. 123" raw_formation_energy_ev_per_atom=-1.05 relative_energy_mev_per_atom=0.0 pbc="T T T"
Hf 0.000 0.000 0.000
Zr 2.120 2.120 0.000
Ti 0.000 2.120 2.279
Ti 2.120 0.000 2.279
O 2.120 2.120 2.279